Entry 1:
# LaYZnH2 PBE relaxed
# Volume: 21.45 A^3/atom
# Fermi-level density of states: 4.28 states/eV per cell
# Symmetry: P4/mmm
# E_tot: -3.990 eV per atom
data_LaYZnH2
_symmetry_space_group_name_H-M 'P 1'
_symmetry_Int_Tables_number 1
_symmetry_space_group_name_Hall 'P 1'
_cell_length_a 4.261
_cell_length_b 5.906
_cell_length_c 4.261
_cell_angle_alpha 90.00
_cell_angle_beta 90.00
_cell_angle_gamma 90.00
loop_
_atom_site_label
_atom_site_type_symbol
_atom_site_fract_x
_atom_site_fract_y
_atom_site_fract_z
Zn1 Zn 0.000 0.500 0.000
Y1 Y 0.000 0.000 0.000
La1 La 0.500 0.500 0.500
H1 H 0.500 0.000 0.000
H2 H 0.000 0.000 0.500

Entry 2:
# Zr2AgO PBE relaxed
# Formation energy from raw total energies: -858 meV per atom
# Volume: 17.66 A^3/atom
# Fermi-level density of states: 1.48 states/eV per cell
# Symmetry: R-3m
# E_tot: -7.084 eV per atom
data_Zr2AgO
_symmetry_space_group_name_H-M 'P 1'
_symmetry_Int_Tables_number 1
_symmetry_space_group_name_Hall 'P 1'
_cell_length_a 3.030
_cell_length_b 3.030
_cell_length_c 9.056
_cell_angle_alpha 80.37
_cell_angle_beta 80.37
_cell_angle_gamma 60.00
loop_
_atom_site_label
_atom_site_type_symbol
_atom_site_fract_x
_atom_site_fract_y
_atom_site_fract_z
Ag1 Ag 0.000 0.000 0.000
Zr1 Zr 0.108 0.108 0.675
Zr2 Zr 0.892 0.892 0.325
O1 O 0.500 0.500 0.500

Entry 3:
# KBe2 PBE relaxed
# Volume: 23.06 A^3/atom
# ΔH_f (0 K): 932 meV/atom
# Fermi-level density of states: 2.09 states/eV per cell
# Symmetry: P6/mmm
# Offset from the most stable computed form: 500 meV per atom
# E_tot: -1.918 eV per atom
data_KBe2
_symmetry_space_group_name_H-M 'P 1'
_symmetry_Int_Tables_number 1
_symmetry_space_group_name_Hall 'P 1'
_cell_length_a 3.827
_cell_length_b 3.827
_cell_length_c 5.453
_cell_angle_alpha 90.00
_cell_angle_beta 90.00
_cell_angle_gamma 120.00
loop_
_atom_site_label
_atom_site_type_symbol
_atom_site_fract_x
_atom_site_fract_y
_atom_site_fract_z
Be1 Be 0.333 0.667 0.000
Be2 Be 0.667 0.333 0.000
K1 K 0.000 0.000 0.500

Entry 4:
# Mn2NiTe2 PBE relaxed
# Formation energy from raw total energies: 242 meV per atom
# Volume: 19.38 A^3/atom
# Fermi-level density of states: 6.50 states/eV per cell
# Symmetry: P4/mbm
# E_tot: -5.838 eV per atom
data_Mn2NiTe2
_symmetry_space_group_name_H-M 'P 1'
_symmetry_Int_Tables_number 1
_symmetry_space_group_name_Hall 'P 1'
_cell_length_a 7.175
_cell_length_b 7.175
_cell_length_c 3.766
_cell_angle_alpha 90.00
_cell_angle_beta 90.00
_cell_angle_gamma 90.00
loop_
_atom_site_label
_atom_site_type_symbol
_atom_site_fract_x
_atom_site_fract_y
_atom_site_fract_z
Te1 Te 0.175 0.325 0.000
Te2 Te 0.675 0.175 0.000
Te3 Te 0.325 0.825 0.000
Te4 Te 0.825 0.675 0.000
Ni1 Ni 0.500 0.500 0.000
Ni2 Ni 0.000 0.000 0.000
Mn1 Mn 0.129 0.629 0.500
Mn2 Mn 0.629 0.871 0.500
Mn3 Mn 0.371 0.129 0.500
Mn4 Mn 0.871 0.371 0.500

Entry 5:
# TbNbPb2O6 PBE relaxed
# Formation energy from raw total energies: -2249 meV per atom
# Volume: 14.86 A^3/atom
# Fermi-level density of states: 0.00 states/eV per cell
# Symmetry: P2_1/c
# E_tot: -7.436 eV per atom
data_TbNbPb2O6
_symmetry_space_group_name_H-M 'P 1'
_symmetry_Int_Tables_number 1
_symmetry_space_group_name_Hall 'P 1'
_cell_length_a 5.915
_cell_length_b 5.978
_cell_length_c 8.407
_cell_angle_alpha 90.00
_cell_angle_beta 90.05
_cell_angle_gamma 90.00
loop_
_atom_site_label
_atom_site_type_symbol
_atom_site_fract_x
_atom_site_fract_y
_atom_site_fract_z
Pb1 Pb 0.507 0.528 0.749
Pb2 Pb 0.007 0.972 0.249
Pb3 Pb 0.993 0.028 0.751
Pb4 Pb 0.493 0.472 0.251
O1 O 0.276 0.694 0.043
O2 O 0.776 0.806 0.543
O3 O 0.811 0.778 0.957
O4 O 0.689 0.278 0.543
O5 O 0.224 0.194 0.457
O6 O 0.917 0.519 0.234
O7 O 0.583 0.019 0.266
O8 O 0.417 0.981 0.734
O9 O 0.311 0.722 0.457
O10 O 0.083 0.481 0.766
O11 O 0.724 0.306 0.957
O12 O 0.189 0.222 0.043
Tb1 Tb 0.500 0.000 0.000
Tb2 Tb 0.000 0.500 0.500
Nb1 Nb 0.500 0.000 0.500
Nb2 Nb 0.000 0.500 0.000

Entry 6:
# RbMn2Os PBE relaxed
# Volume: 29.66 A^3/atom
# ΔH_f (0 K): 1251 meV/atom
# Fermi-level density of states: 8.38 states/eV per cell
# Symmetry: I4_1/amd
# Offset from the most stable computed form: 0 meV per atom
# E_tot: -6.383 eV per atom
data_RbMn2Os
_symmetry_space_group_name_H-M 'P 1'
_symmetry_Int_Tables_number 1
_symmetry_space_group_name_Hall 'P 1'
_cell_length_a 5.569
_cell_length_b 5.569
_cell_length_c 8.605
_cell_angle_alpha 71.12
_cell_angle_beta 71.12
_cell_angle_gamma 90.00
loop_
_atom_site_label
_atom_site_type_symbol
_atom_site_fract_x
_atom_site_fract_y
_atom_site_fract_z
Mn1 Mn 0.875 0.125 0.750
Mn2 Mn 0.375 0.125 0.750
Mn3 Mn 0.875 0.125 0.250
Mn4 Mn 0.875 0.625 0.250
Os1 Os 0.000 0.000 0.000
Os2 Os 0.750 0.250 0.500
Rb1 Rb 0.250 0.750 0.500
Rb2 Rb 0.500 0.500 0.000